No. 1
Below is a relaxed structure of Ho3ZrSc2Te2Os, with properties calculated at the PBE level.

```
data_Ho3ZrSc2Te2Os
_chemical_formula_sum 'Ho6 Zr2 Sc4 Te4 Os2'
_symmetry_space_group_name_H-M 'A m m 2'
_symmetry_Int_Tables_number 38
_symmetry_space_group_name_Hall 'A 2 -2'
_cell_length_a 3.946
_cell_length_b 13.855
_cell_length_c 7.945
_cell_angle_alpha 90.00
_cell_angle_beta 90.00
_cell_angle_gamma 90.00
loop_
_atom_site_label
_atom_site_type_symbol
_atom_site_fract_x
_atom_site_fract_y
_atom_site_fract_z
_atom_site_occupancy
Ho1 Ho 0.000 0.000 0.000 1
Ho2 Ho 0.000 0.194 0.412 1
Zr1 Zr 0.500 0.000 0.371 1
Sc1 Sc 0.500 0.118 0.725 1
Te1 Te 0.500 0.167 0.107 1
Os1 Os 0.000 0.000 0.605 1
```

Output
* calculated total energy: -118.2 eV per cell
* spin magnetization: 0.08 μB per formula unit

=====

No. 2
Below is a relaxed structure of AlFeNiAg, with properties calculated at the PBE level.

```
data_AlFeNiAg
_chemical_formula_sum 'Al4 Fe4 Ni4 Ag4'
_symmetry_space_group_name_H-M 'F -4 3 m'
_symmetry_Int_Tables_number 216
_symmetry_space_group_name_Hall 'F -4 2 3'
_cell_length_a 6.009
_cell_length_b 6.009
_cell_length_c 6.009
_cell_angle_alpha 90.00
_cell_angle_beta 90.00
_cell_angle_gamma 90.00
loop_
_atom_site_label
_atom_site_type_symbol
_atom_site_fract_x
_atom_site_fract_y
_atom_site_fract_z
_atom_site_occupancy
Al1 Al 0.000 0.000 0.000 1
Fe1 Fe 0.250 0.250 0.250 1
Ni1 Ni 0.000 0.000 0.500 1
Ag1 Ag 0.250 0.250 0.750 1
```

Output
* spin magnetization: 2.93 μB per formula unit
* relative energy among the computed polymorphs: 0 meV/atom

=====

No. 3
Below is a relaxed structure of YErIn3Si2, with properties calculated at the PBE level.

```
data_YErIn3Si2
_chemical_formula_sum 'Y2 Er2 In6 Si4'
_symmetry_space_group_name_H-M 'C 1 m 1'
_symmetry_Int_Tables_number 8
_symmetry_space_group_name_Hall 'C -2y'
_cell_length_a 10.620
_cell_length_b 4.266
_cell_length_c 6.987
_cell_angle_alpha 90.00
_cell_angle_beta 99.81
_cell_angle_gamma 90.00
loop_
_atom_site_label
_atom_site_type_symbol
_atom_site_fract_x
_atom_site_fract_y
_atom_site_fract_z
_atom_site_occupancy
Y1 Y 0.000 0.000 0.000 1
Er1 Er 0.258 0.500 0.335 1
In1 In 0.075 0.000 0.517 1
In2 In 0.184 0.500 0.818 1
In3 In 0.378 0.000 0.667 1
Si1 Si 0.286 0.000 0.052 1
Si2 Si 0.472 0.000 0.287 1
```

Output
* calculated total energy: -66.0 eV per cell
* spin magnetization: 0.00 μB per formula unit

=====

No. 4
Below is a relaxed structure of NbCo2Si, with properties calculated at the PBE level.

```
data_NbCo2Si
_chemical_formula_sum 'Nb4 Co8 Si4'
_symmetry_space_group_name_H-M 'F m -3 m'
_symmetry_Int_Tables_number 225
_symmetry_space_group_name_Hall '-F 4 2 3'
_cell_length_a 5.865
_cell_length_b 5.865
_cell_length_c 5.865
_cell_angle_alpha 90.00
_cell_angle_beta 90.00
_cell_angle_gamma 90.00
loop_
_atom_site_label
_atom_site_type_symbol
_atom_site_fract_x
_atom_site_fract_y
_atom_site_fract_z
_atom_site_occupancy
Nb1 Nb 0.000 0.000 0.000 1
Co1 Co 0.250 0.250 0.250 1
Si1 Si 0.000 0.000 0.500 1
```

Output
* spin magnetization: 1.66 μB per formula unit
* relative energy among the computed polymorphs: 0 meV/atom

=====

No. 5
Below is a relaxed structure of TePt8, with properties calculated at the PBE level.

```
data_TePt8
_chemical_formula_sum 'Te4 Pt32'
_symmetry_space_group_name_H-M 'C 1 2/m 1'
_symmetry_Int_Tables_number 12
_symmetry_space_group_name_Hall '-C 2y'
_cell_length_a 8.699
_cell_length_b 3.940
_cell_length_c 27.791
_cell_angle_alpha 90.00
_cell_angle_beta 90.14
_cell_angle_gamma 90.00
loop_
_atom_site_label
_atom_site_type_symbol
_atom_site_fract_x
_atom_site_fract_y
_atom_site_fract_z
_atom_site_occupancy
Te1 Te 0.057 0.000 0.277 1
Pt1 Pt 0.047 0.500 0.113 1
Pt2 Pt 0.051 0.000 0.951 1
Pt3 Pt 0.054 0.500 0.786 1
Pt4 Pt 0.149 0.500 0.016 1
Pt5 Pt 0.150 0.000 0.178 1
Pt6 Pt 0.151 0.000 0.853 1
Pt7 Pt 0.246 0.000 0.081 1
Pt8 Pt 0.250 0.000 0.751 1
```

Output
* spin magnetization: 0.05 μB per formula unit
* relative energy among the computed polymorphs: 0 meV/atom

=====

No. 6
Below is a relaxed structure of AsPt3S4Br, with properties calculated at the PBE level.

```
data_AsPt3S4Br
_chemical_formula_sum 'As2 Pt6 S8 Br2'
_symmetry_space_group_name_H-M 'P 63 m c'
_symmetry_Int_Tables_number 186
_symmetry_space_group_name_Hall 'P 6c -2c'
_cell_length_a 6.6694
_cell_length_b 6.6694
_cell_length_c 11.5857
_cell_angle_alpha 90.00
_cell_angle_beta 90.00
_cell_angle_gamma 120.00
loop_
_atom_site_label
_atom_site_type_symbol
_atom_site_fract_x
_atom_site_fract_y
_atom_site_fract_z
_atom_site_occupancy
As1 As 0.0000 0.0000 0.0000 1
Pt1 Pt 0.0518 0.5259 0.0057 1
S1 S 0.1732 0.3464 0.6020 1
S2 S 0.3333 0.6667 0.8716 1
Br1 Br 0.3333 0.6667 0.3230 1
```

Output
* calculated total energy: -83.2 eV per cell
* spin magnetization: 0.00 μB per formula unit